No. 1
The following is a GGA-PBE calculation of a relaxed structure of LiGa2Au8, from the Alexandria database.

Unit cell a=4.098 b=6.633 c=7.825 alpha=109.64 beta=105.18 gamma=90.00
Atoms (fractional coordinates):
Au (0.038, 0.751, 0.077)
Au (0.962, 0.249, 0.923)
Li (0.500, 0.000, 0.000)
Ga (0.792, 0.338, 0.585)
Au (0.326, 0.067, 0.651)
Au (0.594, 0.458, 0.188)
Au (0.847, 0.774, 0.695)
Ga (0.208, 0.662, 0.415)
Au (0.674, 0.933, 0.349)
Au (0.153, 0.226, 0.305)
Au (0.406, 0.542, 0.812)

Properties
Crystal system: monoclinic
SG: C2/m, No. 12
E_form (eV/f.u.): -2.2

No. 2
The following is a GGA-PBE calculation of a relaxed structure of GdAgPb2, from the Alexandria database.

Unit cell a=4.520 b=4.798 c=4.798 alpha=90.00 beta=90.00 gamma=90.00
Site moments in Bohr magnetons follow the coordinates.
Atoms (fractional coordinates):
Pb (0.000, 0.500, 0.000)  -0.02
Ag (0.500, 0.000, 0.000)  -0.01
Pb (0.000, 0.000, 0.500)  -0.02
Gd (0.500, 0.500, 0.500)  6.98

Properties
Crystal system: tetragonal
SG: P4/mmm, No. 123
ΔE to the lowest computed polymorph (meV per atom): 0
E_form (eV/f.u.): -1.2

No. 3
The following is a GGA-PBE calculation of a relaxed structure of RbAsC2, from the Alexandria database.

Unit cell a=6.005 b=6.005 c=5.998 alpha=59.96 beta=59.96 gamma=90.00
Atoms (fractional coordinates):
As (0.250, 0.750, 0.500)
C (0.375, 0.537, 0.750)
As (0.500, 0.500, 0.000)
C (0.463, 0.125, 0.250)
Rb (0.000, 0.000, 0.000)
Rb (0.750, 0.250, 0.500)
C (0.287, 0.625, 0.250)
C (0.875, 0.713, 0.750)

Properties
Crystal system: tetragonal
SG: I-42d, No. 122
E_form (eV/f.u.): 6.0

No. 4
The following is a GGA-PBE calculation of a relaxed structure of Ba2CdSbPd6, from the Alexandria database.

Unit cell a=5.781 b=8.992 c=7.247 alpha=49.76 beta=66.50 gamma=90.00
Atoms (fractional coordinates):
Cd (0.000, 0.000, 0.000)
Sb (0.500, 0.500, 0.000)
Pd (0.779, 0.757, 0.961)
Ba (0.257, 0.718, 0.486)
Pd (0.259, 0.757, 0.961)
Pd (0.741, 0.243, 0.039)
Pd (0.752, 0.904, 0.497)
Pd (0.248, 0.096, 0.503)
Pd (0.221, 0.243, 0.039)
Ba (0.743, 0.282, 0.514)

Properties
Crystal system: monoclinic
SG: C2/m, No. 12
Formation energy from raw total energies (eV/atom): -0.526

No. 5
The following is a GGA-PBE calculation of a relaxed structure of ScSnF2, from the Alexandria database.

Unit cell a=4.534 b=4.534 c=4.534 alpha=60.00 beta=60.00 gamma=60.00
Site moments in Bohr magnetons follow the coordinates.
Atoms (fractional coordinates):
Sc (0.000, 0.000, 0.000)  0.59
F (0.750, 0.750, 0.750)  0.04
F (0.250, 0.250, 0.250)  0.04
Sn (0.500, 0.500, 0.500)  0.16

Properties
Crystal system: cubic
SG: Fm-3m, No. 225
Formation energy from raw total energies (eV/atom): -1.418
ΔE to the lowest computed polymorph (meV per atom): 839

No. 6
The following is a GGA-PBE calculation of a relaxed structure of La2GeAsIr, from the Alexandria database.

Unit cell a=5.619 b=4.680 c=5.619 alpha=90.00 beta=90.00 gamma=90.00
Atoms (fractional coordinates):
La (0.000, 0.000, 0.500)
Ge (0.000, 0.500, 0.000)
La (0.500, 0.000, 0.000)
Ir (0.500, 0.500, 0.500)
As (0.000, 0.000, 0.000)

Properties
Crystal system: tetragonal
SG: P4/mmm, No. 123
E_form (eV/f.u.): 0.7